Material: ErMg2In
Method: DFT, PBE-GGA
State: relaxed

The formation energy from the elements is -263.3 meV per atom. The value obtained for the calculated volume is 24.1 Å³/atom. The value obtained for the energy relative to the lowest polymorph listed for this composition is 0.00 eV per formula unit.

The space group is P4/mmm (No. 123) and the conventional cell measures 4.486, 4.486 and 4.792 Å, with angles of 90.00, 90.00 and 90.00 degrees. The inequivalent atoms are Er at (0.000, 0.000, 0.000), Mg at (0.000, 0.500, 0.500) and In at (0.500, 0.500, 0.000).